DFT (GGA-PBE) results for crystalline TaAlMoCl2 at its relaxed geometry.

Lattice parameters (Å, degrees): 4.6687 5.6556 4.6687 90.00 90.00 90.00
With the nearest neighbours (Å) after each atom.
Fractional positions:
Mo  0.5000  0.5000  0.5000  4 Al 3.30, 8 Cl 3.67
Cl  0.0000  0.0000  0.5000  2 Ta 2.33
Cl  0.5000  0.0000  0.0000  2 Ta 2.33
Ta  0.0000  0.0000  0.0000  4 Cl 2.33
Al  0.0000  0.5000  0.0000  2 Ta 2.83

Results
Symmetry   P4/mmm
Calculated density   5.05 Mg/m³
Energy relative to the elements, uncorrected   0.85 eV/atom
Crystal system   tetragonal
Energy   -25.893 eV/cell


DFT (GGA-PBE) results for crystalline Tb2MgNi at its relaxed geometry.

Lattice parameters (Å, degrees): 3.5619 6.4114 8.6594 90.00 90.00 106.10
With the nearest neighbours (Å) after each atom.
Fractional positions:
Mg  0.9306  0.8613  0.2500  2 Ni 2.81
Mg  0.0694  0.1387  0.7500  2 Ni 2.81
Tb  0.3631  0.7265  0.9412  3 Ni 2.83-2.99
Tb  0.3631  0.7265  0.5588  3 Ni 2.83-2.99
Tb  0.6369  0.2735  0.0588  3 Ni 2.83-2.99
Tb  0.6369  0.2735  0.4412  3 Ni 2.83-2.99
Ni  0.7462  0.4919  0.7500  2 Mg 2.81, 6 Tb 2.83-2.99
Ni  0.2538  0.5081  0.2500  2 Mg 2.81, 6 Tb 2.83-2.99

Results
Symmetry   Cmcm
Calculated density   7.01 Mg/m³
ΔH_f (0 K)   -0.204 eV/atom
Crystal system   orthorhombic
Energy   -34.902 eV/cell


DFT (GGA-PBE) results for crystalline ErTh3C at its relaxed geometry.

Lattice parameters (Å, degrees): 5.1565 5.1565 5.1565 90.00 90.00 90.00
With the nearest neighbours (Å) after each atom.
Fractional positions:
Th  0.0000  0.0000  0.5000  2 C 2.58
Th  0.5000  0.0000  0.0000  2 C 2.58
Th  0.0000  0.5000  0.0000  2 C 2.58
C  0.0000  0.0000  0.0000  6 Th 2.58
Er  0.5000  0.5000  0.5000  12 Th 3.65

Results
Symmetry   Pm-3m
Calculated density   10.60 Mg/m³
ΔH_f (0 K)   -0.110 eV/atom
Crystal system   cubic
Energy   -36.597 eV/cell


DFT (GGA-PBE) results for crystalline Ac2SmPuN4 at its relaxed geometry.

Lattice parameters (Å, degrees): 3.6919 6.3516 6.4707 108.93 90.00 90.00
With the nearest neighbours (Å) after each atom.
Fractional positions:
Pu  0.0000  0.0000  0.0000  6 N 2.42-2.47
N  0.5000  0.7728  0.7873  2 Pu 2.47, 1 Sm 2.54, 1 Ac 2.70
N  0.0000  0.2453  0.7809  1 Pu 2.42, 2 Sm 2.56, 2 Ac 2.70
N  0.5000  0.2272  0.2127  2 Pu 2.47, 1 Sm 2.54, 1 Ac 2.70
N  0.0000  0.7547  0.2191  1 Pu 2.42, 2 Sm 2.56, 2 Ac 2.70
Ac  0.0000  0.5000  0.5000  6 N 2.79-2.80
Ac  0.5000  0.0000  0.5000  6 N 2.70
Sm  0.5000  0.5000  0.0000  6 N 2.54-2.56

Results
Symmetry   P2/m
Calculated density   10.46 Mg/m³
Energy relative to the elements, uncorrected   -1.15 eV/atom
Crystal system   monoclinic
Energy   -69.808 eV/cell


DFT (GGA-PBE) results for crystalline PRh2Se at its relaxed geometry.

Lattice parameters (Å, degrees): 4.8096 4.8096 4.0490 66.92 66.92 109.80
With the nearest neighbours (Å) after each atom.
Fractional positions:
Rh  0.0000  0.5000  0.0000  2 P 2.46, 2 Se 2.46
Rh  0.5000  0.0000  0.0000  2 P 2.46, 2 Se 2.46
Se  0.5000  0.5000  0.5000  4 Rh 2.46
P  0.0000  0.0000  0.5000  4 Rh 2.46

Results
Symmetry   Fmmm
Calculated density   8.13 Mg/m³
Energy relative to the elements, uncorrected   0.05 eV/atom
Crystal system   orthorhombic
Energy   -23.391 eV/cell


DFT (GGA-PBE) results for crystalline Cu2HgP at its relaxed geometry.

Lattice parameters (Å, degrees): 3.0609 3.0609 6.5711 90.00 90.00 90.00
With the nearest neighbours (Å) after each atom.
Fractional positions:
Cu  0.0000  0.0000  0.5513  4 P 2.53, 1 Cu 2.61
Cu  0.0000  0.0000  0.9487  4 P 2.53, 1 Cu 2.61
P  0.5000  0.5000  0.7500  8 Cu 2.53
Hg  0.5000  0.5000  0.2500  8 Cu 2.93, 4 Hg 3.06

Results
Symmetry   P4/mmm
Calculated density   9.67 Mg/m³
ΔH_f (0 K)   0.247 eV/atom
Crystal system   tetragonal
Energy   -12.915 eV/cell


DFT (GGA-PBE) results for crystalline In3GeMo at its relaxed geometry.

Lattice parameters (Å, degrees): 5.2975 5.2975 5.2975 90.00 90.00 90.00
With the nearest neighbours (Å) after each atom.
Fractional positions:
In  0.0000  0.0000  0.5000  2 Ge 2.65
In  0.5000  0.0000  0.0000  2 Ge 2.65
In  0.0000  0.5000  0.0000  2 Ge 2.65
Mo  0.5000  0.5000  0.5000  12 In 3.75
Ge  0.0000  0.0000  0.0000  6 In 2.65

Results
Symmetry   Pm-3m
Calculated density   5.73 Mg/m³
ΔH_f (0 K)   1.140 eV/atom
Crystal system   cubic
Energy   -17.962 eV/cell


DFT (GGA-PBE) results for crystalline ScSbAs at its relaxed geometry.

Lattice parameters (Å, degrees): 3.6761 3.6761 6.0185 90.00 90.00 120.00
With the nearest neighbours (Å) after each atom.
Fractional positions:
As  0.0000  0.0000  0.9803  3 Sc 2.72, 3 Sb 2.96
Sb  0.6667  0.3333  0.3230  3 As 2.96, 3 Sc 3.09
Sc  0.3333  0.6667  0.6967  3 As 2.72

Results
Symmetry   P3m1
Calculated density   5.70 Mg/m³
Energy relative to the elements, uncorrected   -0.29 eV/atom
Crystal system   trigonal
Energy   -15.981 eV/cell